No. 1
The following is a DFT calculation (GGA-PBE) of a relaxed structure of BeFeNiOs.

As for the space-group type: F-43m (216). As for the formation energy from the elements: 0.01 eV/atom. The calculation puts the total moment at 3.462 μB/f.u. The total energy comes out at -7.291 eV/atom.

a b c (Å): 4.0151 4.0151 4.0151
angles (deg): 60.00 60.00 60.00
With the nearest neighbours (Å) after each atom.
Element x y z (fractional)
Be (0.0000, 0.0000, 0.0000)  4 Os 2.46, 4 Ni 2.46
Fe (0.5000, 0.5000, 0.5000)  4 Ni 2.46, 4 Os 2.46
Ni (0.2500, 0.2500, 0.2500)  4 Fe 2.46, 4 Be 2.46
Os (0.7500, 0.7500, 0.7500)  4 Fe 2.46, 4 Be 2.46

***

No. 2
The following is a DFT calculation (GGA-PBE) of a relaxed structure of SbMo3N.

As for the space-group type: Pm-3m (221). The calculation puts the total moment at 0.000 μB/f.u. The total energy comes out at -8.977 eV/atom. For the uncorrected formation energy, the calculation gives 11 meV/atom. As for the energy above the most stable polymorph in this dataset: 0 meV/atom.

a b c (Å): 4.1939 4.1939 4.1939
angles (deg): 90.00 90.00 90.00
With the nearest neighbours (Å) after each atom.
Element x y z (fractional)
Sb (0.0000, 0.0000, 0.0000)  12 Mo 2.97
Mo (0.0000, 0.5000, 0.5000)  2 N 2.10
Mo (0.5000, 0.0000, 0.5000)  2 N 2.10
Mo (0.5000, 0.5000, 0.0000)  2 N 2.10
N (0.5000, 0.5000, 0.5000)  6 Mo 2.10